1.
Entry from the Alexandria database: crystalline TbY2Ag2 at its relaxed geometry (GGA-PBE).

The relative energy among the computed polymorphs is 0 meV/atom. Its space group is Cmcm (63). The energy of formation from the pure elements comes out at -0.24 eV/atom. Its crystal system is orthorhombic.

```
TbY2Ag2
1.0
1.826 -13.455 0.000
1.826 13.455 0.000
0.000 0.000 5.267
Tb Y Ag
2 4 4
direct
0.145 0.855 0.750
0.855 0.145 0.250
0.047 0.953 0.250
0.234 0.766 0.250
0.766 0.234 0.750
0.953 0.047 0.750
0.358 0.642 0.750
0.453 0.547 0.250
0.547 0.453 0.750
0.642 0.358 0.250
```

***

2.
Entry from the Alexandria database: crystalline RbLaBe2Au at its relaxed geometry (GGA-PBE).

The relative energy among the computed polymorphs is 94 meV/atom. Its space group is P4/mmm (123). The energy of formation from the pure elements comes out at 1.47 eV/atom. Its crystal system is tetragonal.

```
RbLaBe2Au
1.0
5.334 0.000 0.000
0.000 5.334 0.000
0.000 0.000 11.172
Rb La Be Au
1 1 2 1
direct
0.000 0.000 0.000
0.000 0.000 0.500
0.000 0.500 0.500
0.500 0.000 0.500
0.500 0.500 0.000
```

***

The highest energy of formation from the pure elements belongs to which entry? RbLaBe2Au

***

The lowest relative energy among the computed polymorphs belongs to which entry? TbY2Ag2

***

Number 1 is which compound? TbY2Ag2